(1)
{"formula": "CePuZr2P4", "functional": "GGA-PBE", "state": "relaxed", "cell": [[-1.481, -2.008, 2.959], [-0.885, -5.286, -4.031], [6.119, -0.349, 2.827]], "species": ["P", "P", "P", "P", "Pu", "Zr", "Zr", "Ce"], "frac_coords": [[0.500, 0.252, 0.264], [0.000, 0.242, 0.733], [0.000, 0.758, 0.267], [0.500, 0.748, 0.736], [0.000, 0.000, 0.000], [0.500, 0.000, 0.500], [0.000, 0.500, 0.500], [0.500, 0.500, 0.000]], "formation_enthalpy_0k_kcal_per_mol_atoms": -32.2, "sg": "No. 10", "total_energy_ev_per_cell": -70.17}

(2)
{"formula": "AcCeSmPb", "functional": "GGA-PBE", "state": "relaxed", "cell": [[5.676, 0.000, 0.000], [2.838, 4.915, 0.000], [2.838, 1.638, 4.634]], "species": ["Pb", "Ce", "Ac", "Sm"], "frac_coords": [[0.250, 0.250, 0.250], [0.000, 0.000, 0.000], [0.750, 0.750, 0.750], [0.500, 0.500, 0.500]], "formation_enthalpy_0k_kcal_per_mol_atoms": -1.2, "sg": "No. 216", "total_energy_ev_per_cell": -18.68}

(3)
{"formula": "CoAgBr2", "functional": "GGA-PBE", "state": "relaxed", "cell": [[3.878, -0.003, 0.000], [-2.183, 3.206, 0.000], [0.000, 0.000, 7.872]], "species": ["Co", "Br", "Br", "Ag"], "frac_coords": [[0.500, 0.500, 0.250], [0.000, 0.000, 0.471], [0.000, 0.000, 0.029], [0.500, 0.500, 0.750]], "formation_energy_uncorrected_ev_per_atom": 0.1924, "sg": "No. 65", "total_energy_ev_per_cell": -12.53}

(4)
{"formula": "TmHfAu2", "functional": "GGA-PBE", "state": "relaxed", "cell": [[3.387, 0.000, 0.000], [0.000, 3.387, 0.000], [0.000, 0.000, 7.319]], "species": ["Au", "Au", "Tm", "Hf"], "frac_coords": [[0.000, 0.000, 0.769], [0.000, 0.000, 0.231], [0.500, 0.500, 0.500], [0.500, 0.500, 0.000]], "formation_enthalpy_0k_kcal_per_mol_atoms": -14.5, "sg": "No. 123", "total_energy_ev_per_cell": -23.49}

(5)
{"formula": "Ce2GaCo", "functional": "GGA-PBE", "state": "relaxed", "cell": [[-1.994, -1.720, -3.740], [5.013, -4.085, -0.794], [-5.251, -7.675, 6.328]], "species": ["Co", "Co", "Co", "Co", "Ce", "Ce", "Ce", "Ce", "Ce", "Ce", "Ce", "Ce", "Ga", "Ga", "Ga", "Ga"], "frac_coords": [[0.062, 0.395, 0.632], [0.562, 0.105, 0.132], [0.062, 0.895, 0.868], [0.562, 0.605, 0.368], [0.062, 0.827, 0.089], [0.562, 0.173, 0.911], [0.562, 0.565, 0.171], [0.062, 0.435, 0.829], [0.062, 0.935, 0.671], [0.562, 0.065, 0.329], [0.062, 0.327, 0.411], [0.562, 0.673, 0.589], [0.562, 0.211, 0.608], [0.062, 0.289, 0.108], [0.062, 0.789, 0.392], [0.562, 0.711, 0.892]], "formation_enthalpy_0k_kcal_per_mol_atoms": -8.6, "sg": "No. 62", "total_energy_ev_per_cell": -94.00}

(6)
{"formula": "DyThFePd", "functional": "GGA-PBE", "state": "relaxed", "cell": [[4.962, 0.000, 0.000], [2.481, 4.298, 0.000], [2.481, 1.433, 4.052]], "species": ["Dy", "Fe", "Th", "Pd"], "frac_coords": [[0.250, 0.250, 0.250], [0.500, 0.500, 0.500], [0.750, 0.750, 0.750], [0.000, 0.000, 0.000]], "formation_enthalpy_0k_kcal_per_mol_atoms": -6.7, "sg": "No. 216", "total_energy_ev_per_cell": -26.84}

(7)
{"formula": "Si2SbMo", "functional": "GGA-PBE", "state": "relaxed", "cell": [[3.380, 0.000, 0.000], [0.000, 4.546, 0.000], [0.000, 0.000, 4.464]], "species": ["Si", "Si", "Mo", "Sb"], "frac_coords": [[0.000, 0.000, 0.000], [0.500, 0.500, 0.000], [0.500, 0.000, 0.500], [0.000, 0.500, 0.500]], "formation_energy_uncorrected_ev_per_atom": 0.5851, "sg": "No. 47", "total_energy_ev_per_cell": -23.46}

(8)
{"formula": "NbHg3Ir", "functional": "GGA-PBE", "state": "relaxed", "cell": [[-2.892, -2.232, -3.587], [0.004, -4.348, 2.702], [-4.224, 1.523, 2.458]], "species": ["Hg", "Hg", "Hg", "Nb", "Ir"], "frac_coords": [[0.000, 0.500, 0.000], [0.500, 0.000, 0.000], [0.000, 0.000, 0.500], [0.500, 0.500, 0.500], [0.000, 0.000, 0.000]], "formation_enthalpy_0k_kcal_per_mol_atoms": 30.1, "sg": "No. 221", "total_energy_ev_per_cell": -13.31}